a) A geometry-optimized EuHgSb structure. Source: Alexandria via LeMat-Bulk, functional GGA-PBE.

Unit cell a=7.257 b=7.257 c=7.257 alpha=90.00 beta=90.00 gamma=90.00
Space group F-43m (No. 216)
One atom of each set of equivalent atoms:
Eu 0.000 0.000 0.000 x4
Hg 0.250 0.250 0.250 x4
Sb 0.000 0.000 0.500 x4

b) A geometry-optimized EuHgSb structure. Source: Alexandria via LeMat-Bulk, functional GGA-PBE.

Unit cell a=4.7827 b=4.7827 c=4.5354 alpha=90.00 beta=90.00 gamma=120.00
Space group P3m1 (No. 156)
One atom of each set of equivalent atoms:
Eu 0.0000 0.0000 0.0000 x1
Hg 0.3333 0.6667 0.3552 x1
Sb 0.6667 0.3333 0.5848 x1

c) A geometry-optimized EuHgSb structure. Source: Alexandria via LeMat-Bulk, functional GGA-PBE.

Unit cell a=4.043 b=4.043 c=10.635 alpha=90.00 beta=90.00 gamma=90.00
Space group I4mm (No. 107)
One atom of each set of equivalent atoms:
Eu 0.000 0.000 0.000 x2
Hg 0.000 0.000 0.674 x2
Sb 0.000 0.000 0.324 x2

Which is the most stable structure? b) is the most stable.

a) A geometry-optimized Eu2ScHg structure. Source: Alexandria via LeMat-Bulk, functional GGA-PBE.

Unit cell a=3.984 b=3.984 c=7.599 alpha=90.00 beta=90.00 gamma=90.00
Space group P4/mmm (No. 123)
One atom of each set of equivalent atoms:
Eu 0.000 0.000 0.239 x2
Sc 0.500 0.500 0.500 x1
Hg 0.500 0.500 0.000 x1

b) A geometry-optimized Eu2ScHg structure. Source: Alexandria via LeMat-Bulk, functional GGA-PBE.

Unit cell a=3.5112 b=3.5112 c=34.9925 alpha=90.00 beta=90.00 gamma=120.00
Space group R-3m (No. 166, hexagonal axes)
One atom of each set of equivalent atoms:
Eu 0.0000 0.0000 0.0912 x6
Sc 0.0000 0.0000 0.0000 x3
Hg 0.0000 0.0000 0.5000 x3

Which is the most stable structure? a) is the most stable.

a) A geometry-optimized SmEuHg structure. Source: Alexandria via LeMat-Bulk, functional GGA-PBE.

Unit cell a=5.2796 b=5.2796 c=3.8927 alpha=90.00 beta=90.00 gamma=120.00
Space group P3m1 (No. 156)
One atom of each set of equivalent atoms:
Sm 0.0000 0.0000 0.0000 x1
Eu 0.6667 0.3333 0.5506 x1
Hg 0.3333 0.6667 0.2059 x1

b) A geometry-optimized SmEuHg structure. Source: Alexandria via LeMat-Bulk, functional GGA-PBE.

Unit cell a=3.830 b=3.830 c=13.090 alpha=90.00 beta=90.00 gamma=90.00
Space group I4mm (No. 107)
One atom of each set of equivalent atoms:
Sm 0.000 0.000 0.000 x2
Eu 0.000 0.000 0.713 x2
Hg 0.000 0.000 0.369 x2

c) A geometry-optimized SmEuHg structure. Source: Alexandria via LeMat-Bulk, functional GGA-PBE.

Unit cell a=7.483 b=7.483 c=7.483 alpha=90.00 beta=90.00 gamma=90.00
Space group F-43m (No. 216)
One atom of each set of equivalent atoms:
Sm 0.000 0.000 0.000 x4
Eu 0.000 0.000 0.500 x4
Hg 0.250 0.250 0.750 x4

Which is the most stable structure? b) is the most stable.

a) A geometry-optimized SmEu2Hg structure. Source: Alexandria via LeMat-Bulk, functional GGA-PBE.

Unit cell a=3.7005 b=3.7005 c=37.7824 alpha=90.00 beta=90.00 gamma=120.00
Space group R-3m (No. 166, hexagonal axes)
One atom of each set of equivalent atoms:
Sm 0.0000 0.0000 0.0000 x3
Eu 0.0000 0.0000 0.4139 x6
Hg 0.0000 0.0000 0.5000 x3

b) A geometry-optimized SmEu2Hg structure. Source: Alexandria via LeMat-Bulk, functional GGA-PBE.

Unit cell a=4.996 b=4.996 c=5.059 alpha=90.00 beta=90.00 gamma=90.00
Space group P4/mmm (No. 123)
One atom of each set of equivalent atoms:
Sm 0.000 0.000 0.000 x1
Eu 0.000 0.500 0.500 x2
Hg 0.500 0.500 0.000 x1

c) A geometry-optimized SmEu2Hg structure. Source: Alexandria via LeMat-Bulk, functional GGA-PBE.

Unit cell a=3.807 b=3.807 c=9.298 alpha=90.00 beta=90.00 gamma=90.00
Space group P4/mmm (No. 123)
One atom of each set of equivalent atoms:
Sm 0.000 0.000 0.000 x1
Eu 0.500 0.500 0.289 x2
Hg 0.000 0.000 0.500 x1

Which is the most stable structure? c) is the most stable.

a) A geometry-optimized Eu2SnHg structure. Source: Alexandria via LeMat-Bulk, functional GGA-PBE.

Unit cell a=5.576 b=5.576 c=3.886 alpha=90.00 beta=90.00 gamma=90.00
Space group P4/mmm (No. 123)
One atom of each set of equivalent atoms:
Eu 0.000 0.500 0.000 x2
Sn 0.000 0.000 0.500 x1
Hg 0.500 0.500 0.500 x1

b) A geometry-optimized Eu2SnHg structure. Source: Alexandria via LeMat-Bulk, functional GGA-PBE.

Unit cell a=7.852 b=7.852 c=7.852 alpha=90.00 beta=90.00 gamma=90.00
Space group Fm-3m (No. 225)
One atom of each set of equivalent atoms:
Eu 0.250 0.250 0.250 x8
Sn 0.000 0.000 0.000 x4
Hg 0.000 0.000 0.500 x4

c) A geometry-optimized Eu2SnHg structure. Source: Alexandria via LeMat-Bulk, functional GGA-PBE.

Unit cell a=3.9250 b=3.9250 c=29.2023 alpha=90.00 beta=90.00 gamma=120.00
Space group R-3m (No. 166, hexagonal axes)
One atom of each set of equivalent atoms:
Eu 0.0000 0.0000 0.2503 x6
Sn 0.0000 0.0000 0.5000 x3
Hg 0.0000 0.0000 0.0000 x3

Which is the most stable structure? b) is the most stable.

a) A geometry-optimized SrEu2Hg structure. Source: Alexandria via LeMat-Bulk, functional GGA-PBE.

Unit cell a=4.0991 b=4.0991 c=34.2878 alpha=90.00 beta=90.00 gamma=120.00
Space group R-3m (No. 166, hexagonal axes)
One atom of each set of equivalent atoms:
Sr 0.0000 0.0000 0.0000 x3
Eu 0.0000 0.0000 0.2331 x6
Hg 0.0000 0.0000 0.5000 x3

b) A geometry-optimized SrEu2Hg structure. Source: Alexandria via LeMat-Bulk, functional GGA-PBE.

Unit cell a=8.281 b=8.281 c=8.281 alpha=90.00 beta=90.00 gamma=90.00
Space group Fm-3m (No. 225)
One atom of each set of equivalent atoms:
Sr 0.000 0.000 0.000 x4
Eu 0.250 0.250 0.250 x8
Hg 0.000 0.000 0.500 x4

Which is the most stable structure? a) is the most stable.

a) A geometry-optimized TbEu2Hg structure. Source: Alexandria via LeMat-Bulk, functional GGA-PBE.

Unit cell a=4.970 b=4.970 c=5.026 alpha=90.00 beta=90.00 gamma=90.00
Space group P4/mmm (No. 123)
One atom of each set of equivalent atoms:
Tb 0.000 0.000 0.000 x1
Eu 0.000 0.500 0.500 x2
Hg 0.500 0.500 0.000 x1

b) A geometry-optimized TbEu2Hg structure. Source: Alexandria via LeMat-Bulk, functional GGA-PBE.

Unit cell a=3.6296 b=3.6296 c=36.1492 alpha=90.00 beta=90.00 gamma=120.00
Space group R-3m (No. 166, hexagonal axes)
One atom of each set of equivalent atoms:
Tb 0.0000 0.0000 0.0000 x3
Eu 0.0000 0.0000 0.0957 x6
Hg 0.0000 0.0000 0.5000 x3

Which is the most stable structure? a) is the most stable.

a) A geometry-optimized Tb2EuHg structure. Source: Alexandria via LeMat-Bulk, functional GGA-PBE.

Unit cell a=4.929 b=4.929 c=4.793 alpha=90.00 beta=90.00 gamma=90.00
Space group P4/mmm (No. 123)
One atom of each set of equivalent atoms:
Tb 0.000 0.500 0.000 x2
Eu 0.000 0.000 0.500 x1
Hg 0.500 0.500 0.500 x1

b) A geometry-optimized Tb2EuHg structure. Source: Alexandria via LeMat-Bulk, functional GGA-PBE.

Unit cell a=3.691 b=3.691 c=9.146 alpha=90.00 beta=90.00 gamma=90.00
Space group P4/mmm (No. 123)
One atom of each set of equivalent atoms:
Tb 0.000 0.000 0.206 x2
Eu 0.500 0.500 0.500 x1
Hg 0.500 0.500 0.000 x1

Which is the most stable structure? b) is the most stable.